A plane-wave DFT calculation with PBE with a Hubbard U was carried out for crystalline LiLaWF2 at its relaxed geometry.

Geometry as extended XYZ:
```
5
Lattice="4.5059 0.0000 0.0000 0.0000 6.9558 0.0000 0.0000 0.0000 4.5059" Properties=species:S:1:pos:R:3 pbc="T T T"
F 0.0000 0.0000 2.2529
F 2.2529 0.0000 0.0000
Li 0.0000 3.4779 0.0000
W 2.2529 3.4779 2.2529
La 0.0000 0.0000 0.0000
```

Properties
The value obtained for the density of states at the Fermi level is 0.3674 states/eV/atom. The symmetry is P4/mmm. The value obtained for the electronic total energy is -24.02 eV per cell.